(1)
The following is a DFT calculation (PBE) of crystalline Ba3Cd2Ge2 at its relaxed geometry.

Lattice parameters (Å, degrees): 6.7590 6.7590 7.7942 107.78 107.78 45.16
Positions (direct):
Ba: 0.0000 0.0000 0.0000
Ba: 0.1668 0.1668 0.6020
Ba: 0.8332 0.8332 0.3980
Cd: 0.3089 0.3089 0.0798
Cd: 0.6911 0.6911 0.9202
Ge: 0.4748 0.4748 0.6546
Ge: 0.5252 0.5252 0.3454

Values from the calculation:
As for the formation energy: -0.4323 eV per atom. The final energy comes out at -2.837 eV per atom. As for the total moment: 0.00 μB per formula unit. Its symmetry is C2/m. The calculation puts the density of states at the Fermi level at 0.528 states/eV per atom.



(2)
The following is a DFT calculation (PBE) of crystalline Ba2Cd3Ge2 at its relaxed geometry.

Lattice parameters (Å, degrees): 11.8563 11.8563 4.5953 90.00 90.00 160.25
Positions (direct):
Ba: 0.1617 0.8383 0.0000
Ba: 0.8383 0.1617 0.0000
Cd: 0.0000 0.0000 0.0000
Cd: 0.4370 0.5630 0.5000
Cd: 0.5630 0.4370 0.5000
Ge: 0.2818 0.7182 0.5000
Ge: 0.7182 0.2818 0.5000

Values from the calculation:
As for the formation energy: -0.3071 eV per atom. The final energy comes out at -2.568 eV per atom. As for the total moment: 0.00 μB per formula unit. Its symmetry is Cmmm. The calculation puts the density of states at the Fermi level at 0.455 states/eV per atom. The energy relative to the lowest polymorph listed for this composition comes out at 20 meV per atom.